[1]
! NiHgRu2 (SCAN, PBEsol geometry); values from VASP
&SYSTEM
  ibrav = 0, nat = 4, ntyp = 3
/
ATOMIC_SPECIES
Ru 101.07 Ru.upf
Hg 200.59 Hg.upf
Ni 58.69 Ni.upf
ATOMIC_POSITIONS crystal
Ru 0.000 0.000 0.000
Ru 0.750 0.250 0.500
Hg 0.500 0.500 0.000
Ni 0.250 0.750 0.500
CELL_PARAMETERS angstrom
3.838 0.000 0.000
0.000 3.838 0.000
-1.919 -1.919 3.818
! energy relative to the elements	0.494	eV per atom
! ρ	13.623	g/cm³
! DOS at the Fermi energy	1.0932	states/eV/atom
! M_tot	0.00	μB/f.u.
! SG	No. 119
! E_tot	-1.3966	Ha/atom

---

[2]
! ScNiHg (SCAN, PBEsol geometry); values from VASP
&SYSTEM
  ibrav = 0, nat = 3, ntyp = 3
/
ATOMIC_SPECIES
Ni 58.69 Ni.upf
Hg 200.59 Hg.upf
Sc 44.96 Sc.upf
ATOMIC_POSITIONS crystal
Ni 0.323 0.323 0.647
Hg 0.995 0.995 0.990
Sc 0.681 0.681 0.363
CELL_PARAMETERS angstrom
3.353 0.000 0.000
0.000 3.353 0.000
-1.676 -1.676 4.431
! energy relative to the elements	-0.453	eV per atom
! ρ	10.145	g/cm³
! DOS at the Fermi energy	0.3744	states/eV/atom
! M_tot	0.00	μB/f.u.
! SG	No. 107
! E_tot	-1.2242	Ha/atom

---

[3]
! ScNiHg (SCAN, PBEsol geometry); values from VASP
&SYSTEM
  ibrav = 0, nat = 3, ntyp = 3
/
ATOMIC_SPECIES
Sc 44.96 Sc.upf
Hg 200.59 Hg.upf
Ni 58.69 Ni.upf
ATOMIC_POSITIONS crystal
Sc 0.000 0.000 0.000
Hg 0.500 0.500 0.500
Ni 0.250 0.250 0.250
CELL_PARAMETERS angstrom
4.307 0.000 0.000
2.153 3.730 0.000
2.153 1.243 3.516
! energy relative to the elements	-0.297	eV per atom
! ρ	8.944	g/cm³
! DOS at the Fermi energy	0.6757	states/eV/atom
! M_tot	0.00	μB/f.u.
! SG	No. 216
! E_tot	-1.2185	Ha/atom

---

[4]
! ScNiHgTe2 (SCAN, PBEsol geometry); values from VASP
&SYSTEM
  ibrav = 0, nat = 5, ntyp = 4
/
ATOMIC_SPECIES
Sc 44.96 Sc.upf
Te 127.60 Te.upf
Ni 58.69 Ni.upf
Hg 200.59 Hg.upf
ATOMIC_POSITIONS crystal
Sc 0.000 0.000 0.000
Te 0.000 0.500 0.000
Te 0.000 0.000 0.500
Ni 0.500 0.000 0.000
Hg 0.500 0.500 0.500
CELL_PARAMETERS angstrom
-1.142 -3.954 -2.032
3.912 0.789 -3.733
3.565 -2.661 3.173
! ρ	6.778	g/cm³
! DOS at the Fermi energy	0.7533	states/eV/atom
! E_form (uncorrected)	356	meV/atom
! M_tot	1.57	μB/f.u.
! SG	No. 123
! E_tot	-1.2590	Ha/atom